# TaFe2F

An optimized crystal structure of TaFe2F (GGA+U, the Alexandria database).

Computed properties:
As for the symmetry: I-42d, No. 122. The calculation puts the magnetization at 5.7 μB/f.u. Its energy above the most stable polymorph in this dataset is 0 meV per atom.

Cell: 7.041 7.041 5.539 Å, 50.54 50.54 90.00°
Sites, in units of the cell vectors:
F 0.500 0.500 0.000
F 0.250 0.750 0.500
Fe 0.570 0.125 0.250
Fe 0.180 0.625 0.250
Fe 0.375 0.430 0.750
Fe 0.875 0.820 0.750
Ta 0.000 0.000 0.000
Ta 0.750 0.250 0.500